Compound: TcTeMo
Source: Alexandria via LeMat-Bulk
Functional: meta-GGA SCAN
Structure: PBEsol geometry

The structure belongs to space group Imm2 (No. 44); the cell edges are 3.0639, 4.1210 and 7.9207 Å and the angles 90.00°, 90.00° and 90.00°. The inequivalent atoms are Tc at (0.0000, 0.0000, 0.0000), Te at (0.0000, 0.0000, 0.6704) and Mo at (0.0000, 0.0000, 0.3392).

As for the crystal system: orthorhombic. As for the relative energy among the computed polymorphs: 28 meV/atom. For the size of the total moment, the calculation gives 0.000 Bohr magnetons per cell. The value obtained for the uncorrected formation energy is 41.9 kJ per mole of atoms.